# 1
Material: SrYCo2Sn
Method: DFT, PBE
State: relaxed

Cell: 4.772 4.772 5.840 Å, 90.00 90.00 90.00°
Element x y z (fractional)
Sr: 0.000 0.000 0.000
Y: 0.500 0.500 0.500
Co: 0.000 0.500 0.000
Co: 0.500 0.000 0.000
Sn: 0.000 0.000 0.500

Properties
**Formation energy from the elements**: 1240 meV/atom
**Spin magnetization**: 2.53 μB/cell
**Fermi-level density of states**: 7.21 states/eV/f.u.
**SG**: No. 123
**E_tot**: -4.032 eV per atom

# 2
Material: SrZn2CoSn
Method: DFT, PBE
State: relaxed

Cell: 4.780 4.780 4.838 Å, 90.00 90.00 90.00°
Element x y z (fractional)
Sr: 0.000 0.000 0.000
Zn: 0.000 0.500 0.500
Zn: 0.500 0.000 0.500
Co: 0.500 0.500 0.500
Sn: 0.500 0.500 0.000

Properties
**Formation energy from the elements**: -185 meV/atom
**Spin magnetization**: 0.69 μB/cell
**Fermi-level density of states**: 3.52 states/eV/f.u.
**SG**: No. 123
**E_tot**: -3.253 eV per atom

# 3
Material: TaCo3Sn
Method: DFT, PBE
State: relaxed

Cell: 4.498 4.498 4.498 Å, 90.00 90.00 90.00°
Element x y z (fractional)
Ta: 0.000 0.000 0.000
Co: 0.000 0.500 0.500
Co: 0.500 0.000 0.500
Co: 0.500 0.500 0.000
Sn: 0.500 0.500 0.500

Properties
**ΔE to the lowest computed polymorph**: 0.3171 eV/atom
**Formation energy from the elements**: 1507 meV/atom
**Spin magnetization**: 4.02 μB/cell
**Fermi-level density of states**: 4.17 states/eV/f.u.
**SG**: No. 221
**E_tot**: -5.928 eV per atom

# 4
Material: TaCoSn3
Method: DFT, PBE
State: relaxed

Cell: 5.358 5.358 5.358 Å, 90.00 90.00 90.00°
Element x y z (fractional)
Ta: 0.000 0.000 0.000
Co: 0.500 0.500 0.500
Sn: 0.000 0.000 0.500
Sn: 0.000 0.500 0.000
Sn: 0.500 0.000 0.000

Properties
**ΔE to the lowest computed polymorph**: 0.2330 eV/atom
**Formation energy from the elements**: 1055 meV/atom
**Spin magnetization**: 3.10 μB/cell
**Fermi-level density of states**: 9.39 states/eV/f.u.
**SG**: No. 221
**E_tot**: -5.139 eV per atom

# 5
Material: TaCo4Sn
Method: DFT, PBE
State: relaxed

Cell: 4.801 4.801 4.801 Å, 60.00 60.00 60.00°
Element x y z (fractional)
Ta: 0.000 0.000 0.000
Co: 0.125 0.625 0.625
Co: 0.625 0.125 0.625
Co: 0.625 0.625 0.125
Co: 0.625 0.625 0.625
Sn: 0.250 0.250 0.250

Properties
**Formation energy from the elements**: -61 meV/atom
**Spin magnetization**: 2.44 μB/cell
**Fermi-level density of states**: 8.29 states/eV/f.u.
**SG**: No. 216
**E_tot**: -7.440 eV per atom

# 6
Material: TaCo3Sn
Method: DFT, PBE
State: relaxed

Cell: 4.501 4.501 4.501 Å, 90.00 90.00 90.00°
Element x y z (fractional)
Ta: 0.000 0.000 0.000
Co: 0.000 0.000 0.500
Co: 0.000 0.500 0.000
Co: 0.500 0.000 0.000
Sn: 0.500 0.500 0.500

Properties
**ΔE to the lowest computed polymorph**: 0.0000 eV/atom
**Formation energy from the elements**: 1190 meV/atom
**Spin magnetization**: 0.56 μB/cell
**Fermi-level density of states**: 6.87 states/eV/f.u.
**SG**: No. 221
**E_tot**: -6.245 eV per atom

# 7
Material: TaCo2Sn
Method: DFT, PBE
State: relaxed

Cell: 5.585 5.585 5.585 Å, 104.68 104.68 119.55°
Element x y z (fractional)
Ta: 0.000 0.000 0.000
Ta: 0.750 0.250 0.500
Co: 0.099 0.125 0.474
Co: 0.375 0.901 0.026
Co: 0.651 0.625 0.526
Co: 0.875 0.349 0.974
Sn: 0.250 0.750 0.500
Sn: 0.500 0.500 0.000

Properties
**Formation energy from the elements**: 412 meV/atom
**Spin magnetization**: 0.00 μB/cell
**Fermi-level density of states**: 3.41 states/eV/f.u.
**SG**: No. 122
**E_tot**: -7.105 eV per atom

# 8
Material: TaCo2Sn
Method: DFT, PBE
State: relaxed

Cell: 4.200 4.200 3.361 Å, 90.00 90.00 90.00°
Element x y z (fractional)
Ta: 0.000 0.000 0.000
Co: 0.000 0.500 0.500
Co: 0.500 0.000 0.500
Sn: 0.500 0.500 0.000

Properties
**Formation energy from the elements**: -19 meV/atom
**Spin magnetization**: 1.73 μB/cell
**Fermi-level density of states**: 3.16 states/eV/f.u.
**SG**: No. 123
**E_tot**: -7.535 eV per atom

# 9
Material: TaCo2Sn
Method: DFT, PBE
State: relaxed

Cell: 3.172 3.172 5.963 Å, 90.00 90.00 90.00°
Element x y z (fractional)
Ta: 0.000 0.000 0.000
Co: 0.500 0.500 0.222
Co: 0.500 0.500 0.778
Sn: 0.000 0.000 0.500

Properties
**Formation energy from the elements**: -91 meV/atom
**Spin magnetization**: 0.47 μB/cell
**Fermi-level density of states**: 4.84 states/eV/f.u.
**SG**: No. 123
**E_tot**: -7.608 eV per atom

# 10
Material: TaCoSn3
Method: DFT, PBE
State: relaxed

Cell: 4.827 4.827 4.827 Å, 90.00 90.00 90.00°
Element x y z (fractional)
Ta: 0.000 0.000 0.000
Co: 0.500 0.500 0.500
Sn: 0.000 0.500 0.500
Sn: 0.500 0.000 0.500
Sn: 0.500 0.500 0.000

Properties
**ΔE to the lowest computed polymorph**: 0.0000 eV/atom
**Formation energy from the elements**: 822 meV/atom
**Spin magnetization**: 0.00 μB/cell
**Fermi-level density of states**: 2.64 states/eV/f.u.
**SG**: No. 221
**E_tot**: -5.371 eV per atom

# 11
Material: Ta2CoSn
Method: DFT, PBE
State: relaxed

Cell: 10.284 10.284 10.284 Å, 158.38 158.38 30.76°
Element x y z (fractional)
Ta: 0.124 0.625 0.999
Ta: 0.375 0.374 0.499
Ta: 0.626 0.125 0.001
Ta: 0.875 0.876 0.501
Co: 0.000 0.000 0.000
Co: 0.750 0.250 0.500
Sn: 0.250 0.750 0.500
Sn: 0.500 0.500 0.000

Properties
**Formation energy from the elements**: 589 meV/atom
**Spin magnetization**: 0.00 μB/cell
**Fermi-level density of states**: 6.36 states/eV/f.u.
**SG**: No. 122
**E_tot**: -8.115 eV per atom

# 12
Material: TaZnCo2Sn
Method: DFT, PBE
State: relaxed

Cell: 4.530 4.530 5.382 Å, 90.00 90.00 90.00°
Element x y z (fractional)
Ta: 0.000 0.000 0.000
Zn: 0.500 0.500 0.500
Co: 0.000 0.500 0.000
Co: 0.500 0.000 0.000
Sn: 0.000 0.000 0.500

Properties
**Formation energy from the elements**: 1294 meV/atom
**Spin magnetization**: 1.25 μB/cell
**Fermi-level density of states**: 5.88 states/eV/f.u.
**SG**: No. 123
**E_tot**: -4.974 eV per atom

# 13
Material: ZrTaCo2Sn
Method: DFT, PBE
State: relaxed

Cell: 4.496 4.496 5.160 Å, 90.00 90.00 90.00°
Element x y z (fractional)
Zr: 0.000 0.000 0.000
Ta: 0.000 0.000 0.500
Co: 0.000 0.500 0.000
Co: 0.500 0.000 0.000
Sn: 0.500 0.500 0.500

Properties
**Formation energy from the elements**: 1420 meV/atom
**Spin magnetization**: 0.95 μB/cell
**Fermi-level density of states**: 4.65 states/eV/f.u.
**SG**: No. 123
**E_tot**: -6.303 eV per atom

# 14
Material: TbCo2Sn3
Method: DFT, PBE
State: relaxed

Cell: 6.585 6.585 6.578 Å, 90.00 90.00 120.00°
Element x y z (fractional)
Tb: 0.333 0.667 0.316
Tb: 0.667 0.333 0.684
Co: 0.000 0.000 0.000
Co: 0.000 0.500 0.000
Co: 0.500 0.000 0.000
Co: 0.500 0.500 0.000
Sn: 0.168 0.337 0.728
Sn: 0.168 0.832 0.728
Sn: 0.337 0.168 0.272
Sn: 0.663 0.832 0.728
Sn: 0.832 0.168 0.272
Sn: 0.832 0.663 0.272

Properties
**Formation energy from the elements**: -70 meV/atom
**Spin magnetization**: 2.05 μB/cell
**Fermi-level density of states**: 5.79 states/eV/f.u.
**SG**: No. 164
**E_tot**: -5.212 eV per atom

# 15
Material: Tb4CoSn
Method: DFT, PBE
State: relaxed

Cell: 7.842 7.842 6.014 Å, 100.42 100.42 112.48°
Element x y z (fractional)
Tb: 0.054 0.729 0.949
Tb: 0.210 0.366 0.621
Tb: 0.271 0.946 0.551
Tb: 0.366 0.210 0.121
Tb: 0.634 0.790 0.879
Tb: 0.729 0.054 0.449
Tb: 0.790 0.634 0.379
Tb: 0.946 0.271 0.051
Co: 0.000 0.000 0.250
Co: 0.000 0.000 0.750
Sn: 0.373 0.627 0.250
Sn: 0.627 0.373 0.750

Properties
**Formation energy from the elements**: -353 meV/atom
**Spin magnetization**: 0.00 μB/cell
**Fermi-level density of states**: 5.81 states/eV/f.u.
**SG**: No. 15
**E_tot**: -5.291 eV per atom

# 16
Material: Tb7Co2Sn
Method: DFT, PBE
State: relaxed

Cell: 8.042 8.042 4.923 Å, 90.00 90.00 112.13°
Element x y z (fractional)
Tb: 0.000 0.000 0.000
Tb: 0.186 0.447 0.000
Tb: 0.210 0.790 0.500
Tb: 0.447 0.186 0.000
Tb: 0.553 0.814 0.000
Tb: 0.790 0.210 0.500
Tb: 0.814 0.553 0.000
Co: 0.204 0.796 0.000
Co: 0.796 0.204 0.000
Sn: 0.500 0.500 0.500

Properties
**Formation energy from the elements**: -94 meV/atom
**Spin magnetization**: 0.00 μB/cell
**Fermi-level density of states**: 7.93 states/eV/f.u.
**SG**: No. 65
**E_tot**: -5.156 eV per atom

# 17
Material: Tb3CoSn
Method: DFT, PBE
State: relaxed

Cell: 7.997 4.337 8.309 Å, 90.00 116.91 90.00°
Element x y z (fractional)
Tb: 0.048 0.250 0.223
Tb: 0.323 0.250 0.899
Tb: 0.342 0.750 0.583
Tb: 0.658 0.250 0.417
Tb: 0.677 0.750 0.101
Tb: 0.952 0.750 0.777
Co: 0.043 0.250 0.555
Co: 0.957 0.750 0.445
Sn: 0.326 0.750 0.190
Sn: 0.674 0.250 0.810

Properties
**ΔE to the lowest computed polymorph**: 0.0000 eV/atom
**Formation energy from the elements**: -413 meV/atom
**Spin magnetization**: 1.75 μB/cell
**Fermi-level density of states**: 4.78 states/eV/f.u.
**SG**: No. 11
**E_tot**: -5.413 eV per atom

# 18
Material: Tb3CoSn
Method: DFT, PBE
State: relaxed

Cell: 5.125 5.125 5.125 Å, 90.00 90.00 90.00°
Element x y z (fractional)
Tb: 0.000 0.000 0.500
Tb: 0.000 0.500 0.000
Tb: 0.500 0.000 0.000
Co: 0.000 0.000 0.000
Sn: 0.500 0.500 0.500

Properties
**ΔE to the lowest computed polymorph**: 0.0973 eV/atom
**Formation energy from the elements**: -316 meV/atom
**Spin magnetization**: 0.00 μB/cell
**Fermi-level density of states**: 4.31 states/eV/f.u.
**SG**: No. 221
**E_tot**: -5.316 eV per atom

# 19
Material: Tb3Co2Sn4
Method: DFT, PBE
State: relaxed

Cell: 6.048 6.048 8.514 Å, 104.91 104.91 43.25°
Element x y z (fractional)
Tb: 0.000 0.000 0.000
Tb: 0.370 0.370 0.315
Tb: 0.630 0.630 0.685
Co: 0.301 0.301 0.612
Co: 0.699 0.699 0.388
Sn: 0.091 0.091 0.390
Sn: 0.297 0.297 0.914
Sn: 0.703 0.703 0.086
Sn: 0.909 0.909 0.610

Properties
**Formation energy from the elements**: -535 meV/atom
**Spin magnetization**: 0.01 μB/cell
**Fermi-level density of states**: 7.10 states/eV/f.u.
**SG**: No. 12
**E_tot**: -5.436 eV per atom

# 20
Material: Tb8CoSn2
Method: DFT, PBE
State: relaxed

Cell: 9.821 9.821 6.753 Å, 103.03 103.03 28.98°
Element x y z (fractional)
Tb: 0.015 0.015 0.284
Tb: 0.217 0.217 0.822
Tb: 0.359 0.359 0.495
Tb: 0.409 0.409 0.027
Tb: 0.591 0.591 0.973
Tb: 0.641 0.641 0.505
Tb: 0.783 0.783 0.178
Tb: 0.985 0.985 0.716
Co: 0.500 0.500 0.500
Sn: 0.182 0.182 0.263
Sn: 0.818 0.818 0.737

Properties
**Formation energy from the elements**: -314 meV/atom
**Spin magnetization**: 0.00 μB/cell
**Fermi-level density of states**: 9.97 states/eV/f.u.
**SG**: No. 12
**E_tot**: -5.055 eV per atom